VASP calculation (GGA-PBE) on a geometry-optimized ZnTcN2 structure.

a b c (Å): 2.9065 2.9065 18.8310
angles (deg): 90.00 90.00 120.00
Space group R-3m (No. 166, hexagonal axes)
Asymmetric unit:
Zn (0.0000, 0.0000, 0.0000) x3
Tc (0.0000, 0.0000, 0.5000) x3
N (0.0000, 0.0000, 0.1011) x6

Output
energy	-82.09	eV for the cell shown
size of the total moment	0.00	μB per cell
Fermi-level density of states	2.21	states/eV/f.u.
energy relative to the elements, uncorrected	0.232	eV per atom